DFT (GGA-PBE) results for Li3LaO3 after structural relaxation.

## Properties
Its total energy is -166.96 eV for the cell shown. As for the energy relative to the lowest polymorph listed for this composition: 0.0023 eV/atom. The symmetry is P-31c (163). The calculation puts the magnetic moment at 0.00 μB/cell.

Cell: 6.0615 6.0615 11.1665 Å, 90.00 90.00 120.00°
Closest atoms and distances in Å follow each position.
Fractional positions:
Li 0.0562 0.3671 0.0592  3 O 1.96-2.18
Li 0.0562 0.6892 0.4408  3 O 1.96-2.18
Li 0.3108 0.3671 0.4408  3 O 1.96-2.18
Li 0.3108 0.9438 0.0592  3 O 1.96-2.18
Li 0.3671 0.0562 0.5592  3 O 1.96-2.18
Li 0.3671 0.3108 0.9408  3 O 1.96-2.18
Li 0.6329 0.6892 0.0592  3 O 1.96-2.18
Li 0.6329 0.9438 0.4408  3 O 1.96-2.18
Li 0.6892 0.0562 0.9408  3 O 1.96-2.18
Li 0.6892 0.6329 0.5592  3 O 1.96-2.18
Li 0.9438 0.3108 0.5592  3 O 1.96-2.18
Li 0.9438 0.6329 0.9408  3 O 1.96-2.18
La 0.0000 0.0000 0.2500  6 O 2.45
La 0.0000 0.0000 0.7500  6 O 2.45
La 0.3333 0.6667 0.7500  6 O 2.43
La 0.6667 0.3333 0.2500  6 O 2.43
O 0.0360 0.3352 0.8843  3 Li 1.96-2.18
O 0.0360 0.7008 0.6157  3 Li 1.96-2.18
O 0.2992 0.3352 0.6157  3 Li 1.96-2.18
O 0.2992 0.9640 0.8843  3 Li 1.96-2.18
O 0.3352 0.0360 0.3843  3 Li 1.96-2.18
O 0.3352 0.2992 0.1157  3 Li 1.96-2.18
O 0.6648 0.7008 0.8843  3 Li 1.96-2.18
O 0.6648 0.9640 0.6157  3 Li 1.96-2.18
O 0.7008 0.0360 0.1157  3 Li 1.96-2.18
O 0.7008 0.6648 0.3843  3 Li 1.96-2.18
O 0.9640 0.2992 0.3843  3 Li 1.96-2.18
O 0.9640 0.6648 0.1157  3 Li 1.96-2.18

DFT (GGA-PBE) results for LiLa5O8 after structural relaxation.

## Properties
Its total energy is -109.86 eV for the cell shown. The symmetry is I-4 (82). The calculation puts the magnetic moment at 0.00 μB/cell.

Cell: 6.5454 6.5454 6.5454 Å, 108.90 108.90 110.61°
Closest atoms and distances in Å follow each position.
Fractional positions:
Li 0.0000 0.0000 0.0000  4 O 2.42
La 0.1141 0.2147 0.5927  6 O 2.38-2.65
La 0.2500 0.7500 0.5000  4 O 2.41
La 0.4786 0.8859 0.1006  6 O 2.38-2.65
La 0.6220 0.5214 0.4073  6 O 2.38-2.65
La 0.7853 0.3780 0.8994  6 O 2.38-2.65
O 0.0015 0.6350 0.7504  3 La 2.40-2.65, 1 Li 2.42
O 0.2595 0.5311 0.1318  4 La 2.38-2.59
O 0.3650 0.1154 0.3665  3 La 2.40-2.65, 1 Li 2.42
O 0.3994 0.1278 0.8682  4 La 2.38-2.59
O 0.4689 0.6006 0.7284  4 La 2.38-2.59
O 0.7489 0.9985 0.6335  3 La 2.40-2.65, 1 Li 2.42
O 0.8722 0.7405 0.2716  4 La 2.38-2.59
O 0.8846 0.2511 0.2496  3 La 2.40-2.65, 1 Li 2.42

DFT (GGA-PBE) results for LiLaO2 after structural relaxation.

## Properties
Its total energy is -112.31 eV for the cell shown. The symmetry is P2_1/c (14). The calculation puts the magnetic moment at 0.00 μB/cell.

Cell: 6.7211 6.1974 7.0313 Å, 90.00 121.12 90.00°
Closest atoms and distances in Å follow each position.
Fractional positions:
Li 0.1816 0.1716 0.2892  3 O 1.90-1.97
Li 0.1816 0.3284 0.7892  3 O 1.90-1.97
Li 0.8184 0.6716 0.2108  3 O 1.90-1.97
Li 0.8184 0.8284 0.7108  3 O 1.90-1.97
La 0.2795 0.6406 0.2381  6 O 2.35-2.55
La 0.2795 0.8594 0.7381  6 O 2.35-2.55
La 0.7205 0.1406 0.2619  6 O 2.35-2.55
La 0.7205 0.3594 0.7619  6 O 2.35-2.55
O 0.0565 0.6000 0.8219  2 Li 1.95-1.97
O 0.0565 0.9000 0.3219  2 Li 1.95-1.97
O 0.4659 0.1962 0.8579  1 Li 1.90
O 0.4659 0.3038 0.3579  1 Li 1.90
O 0.5341 0.6962 0.6421  1 Li 1.90
O 0.5341 0.8038 0.1421  1 Li 1.90
O 0.9435 0.1000 0.6781  2 Li 1.95-1.97
O 0.9435 0.4000 0.1781  2 Li 1.95-1.97

DFT (GGA-PBE) results for LiLa2O after structural relaxation.

## Properties
Its total energy is -43.18 eV for the cell shown. The symmetry is I-42d (122). The calculation puts the magnetic moment at 0.00 μB/cell.

Cell: 6.7999 6.7999 6.7999 Å, 115.76 115.76 97.51°
Closest atoms and distances in Å follow each position.
Fractional positions:
Li 0.0000 0.0000 0.0000  4 La 3.36
Li 0.7500 0.2500 0.5000  4 La 3.36
La 0.2350 0.1250 0.6100  2 O 2.36
La 0.3750 0.7650 0.8900  2 O 2.36
La 0.5150 0.6250 0.3900  2 O 2.36
La 0.8750 0.4850 0.1100  2 O 2.36
O 0.2500 0.7500 0.5000  4 La 2.36
O 0.5000 0.5000 0.0000  4 La 2.36

DFT (GGA-PBE) results for LiLaO2 after structural relaxation.

## Properties
Its total energy is -54.62 eV for the cell shown. The symmetry is I-42d (122). The calculation puts the magnetic moment at 0.00 μB/cell.

Cell: 6.4838 6.4838 6.4838 Å, 136.12 136.12 63.79°
Closest atoms and distances in Å follow each position.
Fractional positions:
Li 0.0000 0.0000 0.0000  4 O 2.12
Li 0.7500 0.2500 0.5000  4 O 2.12
La 0.2500 0.7500 0.5000  4 O 2.29
La 0.5000 0.5000 0.0000  4 O 2.29
O 0.0933 0.6250 0.9683  2 Li 2.12, 2 La 2.29
O 0.3750 0.3433 0.4683  2 Li 2.12, 2 La 2.29
O 0.6567 0.1250 0.0317  2 Li 2.12, 2 La 2.29
O 0.8750 0.9067 0.5317  2 Li 2.12, 2 La 2.29

DFT (GGA-PBE) results for LiLaO2 after structural relaxation.

## Properties
Its total energy is -27.72 eV for the cell shown. The symmetry is R-3m (166). The calculation puts the magnetic moment at 0.00 μB/cell.

Cell: 6.1910 6.1910 6.1910 Å, 35.12 35.12 35.12°
Closest atoms and distances in Å follow each position.
Fractional positions:
Li 0.0000 0.0000 0.0000  2 O 1.78
La 0.5000 0.5000 0.5000  6 O 2.43
O 0.1021 0.1021 0.1021  1 Li 1.78
O 0.8979 0.8979 0.8979  1 Li 1.78

DFT (GGA-PBE) results for Li3LaO3 after structural relaxation.

## Properties
Its total energy is -83.51 eV for the cell shown. As for the energy relative to the lowest polymorph listed for this composition: 0.0000 eV/atom. The symmetry is R-3 (148). The calculation puts the magnetic moment at 0.00 μB/cell.

Cell: 6.5984 6.5984 6.5984 Å, 54.76 54.76 54.76°
Closest atoms and distances in Å follow each position.
Fractional positions:
Li 0.1544 0.4019 0.8252  3 O 1.96-2.18
Li 0.1748 0.8456 0.5981  3 O 1.96-2.18
Li 0.4019 0.8252 0.1544  3 O 1.96-2.18
Li 0.5981 0.1748 0.8456  3 O 1.96-2.18
Li 0.8252 0.1544 0.4019  3 O 1.96-2.18
Li 0.8456 0.5981 0.1748  3 O 1.96-2.18
La 0.3289 0.3289 0.3289  6 O 2.38-2.50
La 0.6711 0.6711 0.6711  6 O 2.38-2.50
O 0.0865 0.7219 0.4605  3 Li 1.96-2.18
O 0.2781 0.5395 0.9135  3 Li 1.96-2.18
O 0.4605 0.0865 0.7219  3 Li 1.96-2.18
O 0.5395 0.9135 0.2781  3 Li 1.96-2.18
O 0.7219 0.4605 0.0865  3 Li 1.96-2.18
O 0.9135 0.2781 0.5395  3 Li 1.96-2.18

DFT (GGA-PBE) results for LiLaO2 after structural relaxation.

## Properties
Its total energy is -27.01 eV for the cell shown. The symmetry is Fm-3m (225). The calculation puts the magnetic moment at 0.00 μB/cell.

Cell: 4.1230 4.1230 4.1230 Å, 60.00 60.00 60.00°
Closest atoms and distances in Å follow each position.
Fractional positions:
Li 0.0000 0.0000 0.0000  8 O 2.52
La 0.5000 0.5000 0.5000  8 O 2.52
O 0.2500 0.2500 0.2500  4 La 2.52, 4 Li 2.52
O 0.7500 0.7500 0.7500  4 La 2.52, 4 Li 2.52

Which formula does entry 4 have?
LiLa2O

Which value of magnetic moment does entry 6 give?
0.00 μB/cell

What did the first record say?
DFT (GGA-PBE) results for Li3LaO3 after structural relaxation.

## Properties
Its total energy is -166.96 eV for the cell shown. As for the energy relative to the lowest polymorph listed for this composition: 0.0023 eV/atom. The symmetry is P-31c (163). The calculation puts the magnetic moment at 0.00 μB/cell.

Cell: 6.0615 6.0615 11.1665 Å, 90.00 90.00 120.00°
Closest atoms and distances in Å follow each position.
Fractional positions:
Li 0.0562 0.3671 0.0592  3 O 1.96-2.18
Li 0.0562 0.6892 0.4408  3 O 1.96-2.18
Li 0.3108 0.3671 0.4408  3 O 1.96-2.18
Li 0.3108 0.9438 0.0592  3 O 1.96-2.18
Li 0.3671 0.0562 0.5592  3 O 1.96-2.18
Li 0.3671 0.3108 0.9408  3 O 1.96-2.18
Li 0.6329 0.6892 0.0592  3 O 1.96-2.18
Li 0.6329 0.9438 0.4408  3 O 1.96-2.18
Li 0.6892 0.0562 0.9408  3 O 1.96-2.18
Li 0.6892 0.6329 0.5592  3 O 1.96-2.18
Li 0.9438 0.3108 0.5592  3 O 1.96-2.18
Li 0.9438 0.6329 0.9408  3 O 1.96-2.18
La 0.0000 0.0000 0.2500  6 O 2.45
La 0.0000 0.0000 0.7500  6 O 2.45
La 0.3333 0.6667 0.7500  6 O 2.43
La 0.6667 0.3333 0.2500  6 O 2.43
O 0.0360 0.3352 0.8843  3 Li 1.96-2.18
O 0.0360 0.7008 0.6157  3 Li 1.96-2.18
O 0.2992 0.3352 0.6157  3 Li 1.96-2.18
O 0.2992 0.9640 0.8843  3 Li 1.96-2.18
O 0.3352 0.0360 0.3843  3 Li 1.96-2.18
O 0.3352 0.2992 0.1157  3 Li 1.96-2.18
O 0.6648 0.7008 0.8843  3 Li 1.96-2.18
O 0.6648 0.9640 0.6157  3 Li 1.96-2.18
O 0.7008 0.0360 0.1157  3 Li 1.96-2.18
O 0.7008 0.6648 0.3843  3 Li 1.96-2.18
O 0.9640 0.2992 0.3843  3 Li 1.96-2.18
O 0.9640 0.6648 0.1157  3 Li 1.96-2.18